A geometry-optimized KDyZnTe3 structure, computed with GGA-PBE.

```
12
Lattice="10.048 -2.234 0.000 10.048 2.234 0.000 -1.886 0.000 9.053" Properties=species:S:1:pos:R:3 pbc="T T T"
Te 6.240 0.000 1.386
Te 12.873 0.000 2.667
Te 5.337 0.000 6.386
Te 11.970 0.000 7.667
Te 9.105 0.000 4.526
Te 0.000 0.000 0.000
K 1.659 0.000 5.090
K 16.551 0.000 3.963
Dy 14.915 0.000 8.451
Dy 3.295 0.000 0.602
Zn 7.909 0.000 6.983
Zn 10.301 0.000 2.070
```

Output
Symmetry = C2/m, No. 12
Total energy = -43.80 eV for the cell shown